Below is a PBEsol-optimized structure of YCr, with properties calculated at the meta-GGA SCAN level.

Structure (extended XYZ):
```
6
Lattice="5.766 -1.620 0.000 5.766 1.620 0.000 -2.577 0.000 6.617" Properties=species:S:1:pos:R:3 pbc="T T T"
Y 0.000 0.000 0.000
Y -1.286 0.000 3.595
Y 7.316 0.000 2.568
Cr 1.377 0.000 4.971
Cr 3.478 0.000 1.016
Cr 5.930 0.000 6.082
```

Calculated values
The formation energy comes out at 0.261 eV/atom.